(1)
A plane-wave DFT calculation with PBE-GGA was carried out for a geometry-optimized SrZn2As structure.

Computed properties:
The formation energy is -0.2201 eV/atom. The calculation puts the total energy at -9.76 eV per formula unit. The total magnetization comes out at 0.00 μB/atom. Its space group is R3m.

Cell lengths 4.9135, 4.9135, 4.9135 Å; angles 66.59, 66.59, 66.59 degrees
Fractional positions:
1 Zn 0.2525 0.2525 0.2525
2 Zn 0.0243 0.0243 0.0243
3 As 0.4765 0.4765 0.4765
4 Sr 0.7467 0.7467 0.7467

(2)
A plane-wave DFT calculation with PBE-GGA was carried out for a geometry-optimized ScSiHg structure.

Computed properties:
The formation energy from raw total energies is -0.098 eV per atom. The calculation puts the total energy at -12.35 eV per formula unit. The total magnetization comes out at 0.00 μB/atom. Its space group is Imm2.

Cell lengths 5.4603, 5.4603, 5.4603 Å; angles 146.19, 137.79, 55.13 degrees
Fractional positions:
1 Hg 0.0022 0.0022 0.0000
2 Sc 0.3175 0.3175 0.0000
3 Si 0.6803 0.6803 0.0000

(3)
A plane-wave DFT calculation with PBE-GGA was carried out for a geometry-optimized PmNd2ErAs4 structure.

Computed properties:
The formation energy is -1.5093 eV/atom. The calculation puts the total energy at -49.52 eV per formula unit. The total magnetization comes out at 0.00 μB/atom. Its space group is P2/m.

Cell lengths 4.2213, 7.3028, 7.3043 Å; angles 70.52, 90.00, 90.00 degrees
Fractional positions:
1 As 0.5000 0.7416 0.2570
2 As 0.0000 0.2553 0.2526
3 As 0.5000 0.2584 0.7430
4 As 0.0000 0.7447 0.7474
5 Nd 0.5000 0.0000 0.5000
6 Nd 0.0000 0.0000 0.0000
7 Pm 0.5000 0.5000 0.0000
8 Er 0.0000 0.5000 0.5000

(4)
A plane-wave DFT calculation with PBE-GGA was carried out for a geometry-optimized V3FeH structure.

Computed properties:
The calculation puts the total energy at -32.44 eV per formula unit. The total magnetization comes out at 0.00 μB/atom. Its space group is Pm-3m.

Cell lengths 4.2803, 4.2803, 4.2803 Å; angles 90.00, 90.00, 90.00 degrees
Fractional positions:
1 H 0.5000 0.5000 0.5000
2 V 0.0000 0.0000 0.5000
3 V 0.5000 0.0000 0.0000
4 V 0.0000 0.5000 0.0000
5 Fe 0.0000 0.0000 0.0000

(5)
A plane-wave DFT calculation with PBE-GGA was carried out for a geometry-optimized BaTl2Ga2 structure.

Computed properties:
The formation energy is -0.0720 eV/atom. The calculation puts the total energy at -13.07 eV per formula unit. The total magnetization comes out at 0.00 μB/atom. Its space group is P4/mbm.

Cell lengths 8.9270, 8.9270, 3.6468 Å; angles 90.00, 90.00, 90.00 degrees
Fractional positions:
1 Tl 0.1280 0.3720 0.0000
2 Tl 0.3720 0.8720 0.0000
3 Tl 0.8720 0.6280 0.0000
4 Tl 0.6280 0.1280 0.0000
5 Ga 0.6664 0.8336 0.5000
6 Ga 0.8336 0.3336 0.5000
7 Ga 0.3336 0.1664 0.5000
8 Ga 0.1664 0.6664 0.5000
9 Ba 0.5000 0.5000 0.0000
10 Ba 0.0000 0.0000 0.0000

(6)
A plane-wave DFT calculation with PBE-GGA was carried out for a geometry-optimized NiGe2Mo structure.

Computed properties:
The formation energy is -0.0382 eV/atom. The calculation puts the total energy at -26.00 eV per formula unit. The total magnetization comes out at 0.00 μB/atom. Its space group is P4/mmm.

Cell lengths 3.2113, 4.2125, 4.2125 Å; angles 90.00, 90.00, 90.00 degrees
Fractional positions:
1 Ni 0.5000 0.0000 0.0000
2 Ge 0.0000 0.0000 0.5000
3 Ge 0.0000 0.5000 0.0000
4 Mo 0.5000 0.5000 0.5000

> Number 5 is which compound?

BaTl2Ga2

> What is the formula in the sixth record?

NiGe2Mo